TmMn2PO8 | Alexandria | PBE+U | optimized geometry; M_tot = 0.50 μB per atom; space-group type = P-3m1, No. 164; E = -6.9145 eV per atom
1.0
5.697 0.000 0.000
-2.849 4.934 0.000
0.000 0.000 5.571
Tm Mn P O
1 2 1 8
Direct
0.000 0.000 0.000
0.333 0.667 0.594
0.667 0.333 0.406
0.000 0.000 0.500
0.142 0.283 0.686
0.142 0.858 0.686
0.283 0.142 0.314
0.333 0.667 0.289
0.667 0.333 0.711
0.717 0.858 0.686
0.858 0.142 0.314
0.858 0.717 0.314